No. 1
VASP calculation (PBE) on a relaxed LaYGe crystal.

a b c (Å): 8.4826 4.3023 11.6536
angles (deg): 90.00 125.87 90.00
Fractional coordinates of all 12 atoms:
Y 0.9246 0.0000 0.9567
Ge 0.1949 0.5000 0.1412
Y 0.4925 0.0000 0.2007
Y 0.9246 0.5000 0.4567
La 0.7800 0.0000 0.6107
Ge 0.5141 0.5000 0.4000
La 0.7800 0.5000 0.1107
La 0.2084 0.0000 0.3585
La 0.2084 0.5000 0.8585
Ge 0.5141 0.0000 0.9000
Y 0.4925 0.5000 0.7007
Ge 0.1949 0.0000 0.6412

Properties
Total DFT energy (no corrections): -0.2169 hartree per atom
Formation energy: -567 meV/atom

No. 2
VASP calculation (PBE) on a relaxed KWCl2 crystal.

a b c (Å): 3.8419 3.8419 7.2411
angles (deg): 90.00 90.00 90.00
Fractional coordinates of all 4 atoms:
Cl 0.0000 0.0000 0.8952
K 0.0000 0.0000 0.4580
Cl 0.5000 0.5000 0.2520
W 0.5000 0.5000 0.8948

Properties
Uncorrected formation energy: 0.175 eV per atom
Total DFT energy (no corrections): -0.1566 hartree per atom

total DFT energy (no corrections) of number 2 (KWCl2)? -0.1566 hartree per atom

What is the total DFT energy (no corrections) in the first record? -0.2169 hartree per atom

Which value of total DFT energy (no corrections) does entry 1 give? -0.2169 hartree per atom

What is the formula in the second record? KWCl2